The following is a GGA-PBE calculation of a relaxed CeSiTc crystal, from Alexandria.

The structure in POSCAR format:
```
CeSiTc
1.0
3.906 0.000 0.000
0.000 4.233 0.000
0.000 -2.117 3.666
Si Ce Tc
1 1 1
Direct
0.167 0.000 0.000
0.667 0.667 0.333
0.167 0.333 0.667
```

Properties
For the density of states at the Fermi level, the calculation gives 4.6 states/eV/cell. As for the symmetry: P-6m2 (187). As for the formation energy without anion corrections: -0.4141 eV/atom. The calculation puts the calculated total energy at -7.66 eV per atom. The density comes out at 7.3 g cm⁻³. For the energy above the lowest structure with this stoichiometry, the calculation gives 0.1725 eV per atom.


The following is a GGA-PBE calculation of a relaxed Nd3Ho3Er crystal, from Alexandria.

The structure in POSCAR format:
```
Nd3Ho3Er
1.0
-0.812 0.147 5.698
-3.448 -8.984 -0.259
9.419 1.504 1.303
Ho Nd Er
6 6 2
Direct
0.750 0.479 0.384
0.250 0.521 0.616
0.750 0.905 0.521
0.250 0.384 0.905
0.250 0.095 0.479
0.750 0.616 0.095
0.750 0.756 0.806
0.250 0.806 0.049
0.750 0.049 0.243
0.250 0.244 0.194
0.750 0.194 0.951
0.250 0.951 0.757
0.750 0.333 0.667
0.250 0.667 0.333
```

Properties
For the density of states at the Fermi level, the calculation gives 24.0 states/eV/cell. The formation energy is 0.0215 eV/atom. As for the symmetry: P6_3/m (176). The calculation puts the calculated total energy at -4.64 eV per atom. The density comes out at 7.9 g cm⁻³. For the energy above the lowest structure with this stoichiometry, the calculation gives 0.0000 eV per atom.


The following is a GGA-PBE calculation of a relaxed NpU2Ru2 crystal, from Alexandria.

The structure in POSCAR format:
```
NpU2Ru2
1.0
-0.107 0.587 4.459
-0.084 -10.981 1.444
7.542 -0.033 0.186
Np Ru U
4 8 8
Direct
0.250 0.303 0.122
0.250 0.803 0.378
0.750 0.197 0.622
0.750 0.697 0.878
0.250 0.905 0.972
0.750 0.003 0.394
0.250 0.497 0.894
0.750 0.595 0.472
0.250 0.405 0.528
0.750 0.095 0.028
0.750 0.503 0.106
0.250 0.997 0.606
0.250 0.180 0.823
0.750 0.899 0.753
0.250 0.601 0.253
0.250 0.680 0.677
0.750 0.820 0.177
0.750 0.399 0.747
0.750 0.320 0.323
0.250 0.101 0.247
```

Properties
For the density of states at the Fermi level, the calculation gives 37.2 states/eV/cell. The formation energy is -0.0825 eV/atom. As for the symmetry: Pnma (62). The calculation puts the calculated total energy at -10.90 eV per atom. The density comes out at 16.2 g cm⁻³.


The following is a GGA-PBE calculation of a relaxed KRb5Na8 crystal, from Alexandria.

The structure in POSCAR format:
```
KRb5Na8
1.0
9.646 0.000 -3.590
-4.683 8.531 -3.349
-0.279 0.000 10.288
Na Rb K
8 5 1
Direct
0.066 0.706 0.481
0.946 0.078 0.635
0.557 0.922 0.868
0.775 0.294 0.360
0.132 0.690 0.054
0.519 0.585 0.225
0.365 0.310 0.443
0.640 0.415 0.934
0.011 0.320 0.100
0.900 0.911 0.220
0.500 0.000 0.500
0.309 0.089 0.989
0.780 0.680 0.691
0.250 0.500 0.750
```

Properties
For the density of states at the Fermi level, the calculation gives 11.1 states/eV/cell. The formation energy is 0.0938 eV/atom. As for the symmetry: I-4 (82). The calculation puts the calculated total energy at -1.08 eV per atom. The density comes out at 1.3 g cm⁻³.


The following is a GGA-PBE calculation of a relaxed Rb3MoAs crystal, from Alexandria.

The structure in POSCAR format:
```
Rb3MoAs
1.0
6.698 0.000 0.000
0.000 6.698 0.000
0.000 0.000 6.698
Rb Mo As
3 1 1
Direct
0.000 0.000 0.500
0.500 0.000 0.000
0.000 0.500 0.000
0.500 0.500 0.500
0.000 0.000 0.000
```

Properties
For the density of states at the Fermi level, the calculation gives 8.3 states/eV/cell. The formation energy is 0.9541 eV/atom. As for the symmetry: Pm-3m (221). The calculation puts the calculated total energy at -2.72 eV per atom. The density comes out at 2.4 g cm⁻³. For the energy above the lowest structure with this stoichiometry, the calculation gives 0.0000 eV per atom.


The following is a GGA-PBE calculation of a relaxed K3Cd2Sn3 crystal, from Alexandria.

The structure in POSCAR format:
```
K3Cd2Sn3
1.0
4.993 0.000 0.000
-2.496 5.532 0.000
0.000 0.000 19.107
Sn Cd K
6 4 6
Direct
0.059 0.118 0.885
0.059 0.118 0.615
0.941 0.882 0.385
0.193 0.386 0.750
0.807 0.614 0.250
0.941 0.882 0.115
0.211 0.423 0.334
0.211 0.423 0.166
0.789 0.577 0.834
0.789 0.577 0.666
0.642 0.285 0.464
0.489 0.979 0.750
0.358 0.715 0.964
0.642 0.285 0.036
0.358 0.715 0.536
0.511 0.021 0.250
```

Properties
For the density of states at the Fermi level, the calculation gives 2.8 states/eV/cell. The formation energy is -0.1062 eV/atom. As for the symmetry: Cmcm (63). The calculation puts the calculated total energy at -2.25 eV per atom. The density comes out at 4.4 g cm⁻³.